# CaTbSnPb, relaxed, DFT GGA-PBE
data_CaTbSnPb
_chemical_formula_sum 'Ca1 Tb1 Sn1 Pb1'
_space_group_name_H-M_alt 'P 1'
_space_group_IT_number 1
_space_group_name_Hall 'P 1'
_cell_length_a 5.464
_cell_length_b 5.464
_cell_length_c 5.464
_cell_angle_alpha 60.00
_cell_angle_beta 60.00
_cell_angle_gamma 60.00
loop_
_atom_site_label
_atom_site_fract_x
_atom_site_fract_y
_atom_site_fract_z
Sn1 0.750 0.750 0.750
Pb1 0.250 0.250 0.250
Ca1 0.000 0.000 0.000
Tb1 0.500 0.500 0.500
# Symmetry ... F-43m (216)
# Calculated total energy ... -4.07 eV/atom
# Spin magnetization ... 0.000 μB per atom



# Ca3SnTe6Pb2, relaxed, DFT GGA-PBE
data_Ca3SnTe6Pb2
_chemical_formula_sum 'Ca3 Sn1 Te6 Pb2'
_space_group_name_H-M_alt 'P 1'
_space_group_IT_number 1
_space_group_name_Hall 'P 1'
_cell_length_a 4.565
_cell_length_b 9.177
_cell_length_c 10.251
_cell_angle_alpha 103.34
_cell_angle_beta 102.86
_cell_angle_gamma 90.00
loop_
_atom_site_label
_atom_site_fract_x
_atom_site_fract_y
_atom_site_fract_z
Te1 0.998 0.250 0.996
Te2 0.335 0.412 0.671
Te3 0.333 0.923 0.667
Te4 0.667 0.077 0.333
Te5 0.665 0.588 0.329
Te6 0.002 0.750 0.004
Sn1 0.500 0.000 0.000
Ca1 0.500 0.500 0.000
Ca2 0.167 0.833 0.334
Ca3 0.833 0.167 0.666
Pb1 0.166 0.332 0.332
Pb2 0.834 0.668 0.668
# Symmetry ... C2/m (12)
# Calculated total energy ... -4.00 eV/atom
# Spin magnetization ... 0.000 μB per atom
# Energy relative to the elements, uncorrected ... -0.980 eV/atom



# CaSn2Te4Pb, relaxed, DFT GGA-PBE
data_CaSn2Te4Pb
_chemical_formula_sum 'Ca1 Sn2 Te4 Pb1'
_space_group_name_H-M_alt 'P 1'
_space_group_IT_number 1
_space_group_name_Hall 'P 1'
_cell_length_a 4.558
_cell_length_b 7.917
_cell_length_c 7.909
_cell_angle_alpha 70.61
_cell_angle_beta 90.00
_cell_angle_gamma 90.00
loop_
_atom_site_label
_atom_site_fract_x
_atom_site_fract_y
_atom_site_fract_z
Te1 0.500 0.248 0.746
Te2 0.000 0.755 0.744
Te3 0.500 0.752 0.254
Te4 0.000 0.245 0.256
Sn1 0.500 0.000 0.500
Sn2 0.000 0.000 0.000
Pb1 0.500 0.500 0.000
Ca1 0.000 0.500 0.500
# Symmetry ... P2/m (10)
# Calculated total energy ... -3.92 eV/atom
# Spin magnetization ... 0.000 μB per atom
# Energy relative to the elements, uncorrected ... -0.635 eV/atom